# Tb2VNiO6

A relaxed Tb2VNiO6 crystal (GGA+U, Alexandria via LeMat-Bulk).

Results
Crystal system: monoclinic
Final energy: -7.551 eV/atom
Volume: 229.08 Å³ per cell

The structure in extended XYZ format:
```
20
Lattice="-4.6193 1.9109 1.8452 -2.4639 -1.1294 -4.9985 -1.9716 -6.8514 2.5200" Properties=species:S:1:pos:R:3 pbc="T T T"
O -5.8536 -5.4983 2.1195
O -1.4813 -0.2948 -0.5225
O -3.2012 -0.5717 -2.7528
O -2.2601 -2.8914 0.5416
O -4.0512 -3.2009 -1.8331
O -3.4277 -0.6597 1.6047
O -6.7947 -3.1786 -1.1749
O -3.1576 -5.5239 -0.1955
O -5.8972 -0.5461 -0.4377
O -7.5735 -5.7752 -0.1108
O -5.6271 -5.4103 -2.2380
O -5.0036 -2.8691 1.1999
V -1.2320 -0.5647 -2.4992
V -3.2954 -2.4703 2.1826
Ni -2.3096 0.9555 0.9226
Ni -2.2178 -3.9904 -1.2392
Tb -5.3115 -4.7977 0.0027
Tb -3.7433 -1.2722 -0.6360
Tb -2.8934 -2.7296 -3.9597
Tb -6.1614 -3.3403 3.3264
```